# CeTm2Ni2

A relaxed CeTm2Ni2 crystal (GGA-PBE, Alexandria via LeMat-Bulk).

The structure in POSCAR format:
```
CeTm2Ni2
1.0
5.332 0.000 0.000
0.000 4.267 0.000
-0.527 0.000 9.991
Ce Tm Ni
2 4 4
Direct
0.134 0.250 0.294 Ce
0.866 0.750 0.706 Ce
0.256 0.250 0.963 Tm
0.373 0.250 0.620 Tm
0.627 0.750 0.380 Tm
0.744 0.750 0.037 Tm
0.142 0.750 0.479 Ni
0.249 0.750 0.142 Ni
0.751 0.250 0.858 Ni
0.858 0.250 0.521 Ni
```

Symmetry: No. 11
Total magnetization (μB per cell): 0.39
Crystal system: monoclinic
Uncorrected energy (eV per atom): -5.581

=====

# KCdP3

A relaxed KCdP3 crystal (GGA-PBE, Alexandria via LeMat-Bulk).

The structure in POSCAR format:
```
KCdP3
1.0
5.310 0.000 0.000
0.000 5.310 0.000
0.000 0.000 5.310
K Cd P
1 1 3
Direct
0.000 0.000 0.000 K
0.500 0.500 0.500 Cd
0.000 0.000 0.500 P
0.000 0.500 0.000 P
0.500 0.000 0.000 P
```

Symmetry: No. 221
Total magnetization (μB per cell): 0.00
Crystal system: cubic
Polymorph energy (0 for the lowest one) (kJ/mol of formula units): 512

=====

# Ac2In6Au3

A relaxed Ac2In6Au3 crystal (GGA-PBE, Alexandria via LeMat-Bulk).

The structure in POSCAR format:
```
Ac2In6Au3
1.0
8.646 0.000 0.000
-4.323 7.487 0.000
0.000 0.000 4.537
Ac In Au
2 6 3
Direct
0.333 0.667 0.000 Ac
0.667 0.333 0.000 Ac
0.000 0.302 0.500 In
0.000 0.803 0.000 In
0.197 0.197 0.000 In
0.302 0.000 0.500 In
0.698 0.698 0.500 In
0.803 0.000 0.000 In
0.000 0.619 0.500 Au
0.381 0.381 0.500 Au
0.619 0.000 0.500 Au
```

Symmetry: No. 189
Total magnetization (μB per cell): 0.00
Crystal system: hexagonal
Uncorrected energy (eV per atom): -3.621

=====

# RbTl8In4

A relaxed RbTl8In4 crystal (GGA-PBE, Alexandria via LeMat-Bulk).

The structure in POSCAR format:
```
RbTl8In4
1.0
-5.710 5.710 3.155
5.710 -5.710 3.155
5.710 5.710 -3.155
Rb Tl In
1 8 4
Direct
0.000 0.000 0.000 Rb
0.000 0.355 0.355 Tl
0.000 0.645 0.645 Tl
0.286 0.500 0.786 Tl
0.355 0.000 0.355 Tl
0.500 0.286 0.786 Tl
0.500 0.714 0.214 Tl
0.645 0.000 0.645 Tl
0.714 0.500 0.214 Tl
0.000 0.000 0.500 In
0.000 0.500 0.000 In
0.500 0.000 0.000 In
0.500 0.500 0.500 In
```

Symmetry: No. 139
Total magnetization (μB per cell): 0.00
Crystal system: tetragonal
Uncorrected energy (eV per atom): -2.392

=====

# Cs2ScMnB

A relaxed Cs2ScMnB crystal (GGA-PBE, Alexandria via LeMat-Bulk).

The structure in POSCAR format:
```
Cs2ScMnB
1.0
7.345 0.000 0.000
0.000 7.345 0.000
0.000 0.000 4.253
Cs Sc Mn B
2 1 1 1
Direct
0.000 0.500 0.000 Cs
0.500 0.000 0.000 Cs
0.000 0.000 0.000 Sc
0.500 0.500 0.500 Mn
0.000 0.000 0.500 B
```

Symmetry: No. 123
Total magnetization (μB per cell): 4.31
Crystal system: tetragonal
Uncorrected energy (eV per atom): -3.438

=====

# CsSn12Au7

A relaxed CsSn12Au7 crystal (GGA-PBE, Alexandria via LeMat-Bulk).

The structure in POSCAR format:
```
CsSn12Au7
1.0
7.454 4.303 2.658
-7.454 4.303 2.658
0.000 -8.607 2.658
Cs Sn Au
1 12 7
Direct
0.000 0.000 0.000 Cs
0.000 0.261 0.739 Sn
0.000 0.739 0.261 Sn
0.140 0.461 0.461 Sn
0.261 0.000 0.739 Sn
0.261 0.739 0.000 Sn
0.461 0.140 0.461 Sn
0.461 0.461 0.140 Sn
0.539 0.539 0.860 Sn
0.539 0.860 0.539 Sn
0.739 0.000 0.261 Sn
0.739 0.261 0.000 Sn
0.860 0.539 0.539 Sn
0.172 0.172 0.516 Au
0.172 0.516 0.172 Au
0.484 0.828 0.828 Au
0.500 0.500 0.500 Au
0.516 0.172 0.172 Au
0.828 0.484 0.828 Au
0.828 0.828 0.484 Au
```

Symmetry: No. 166
Total magnetization (μB per cell): 0.00
Crystal system: trigonal
Uncorrected energy (eV per atom): -3.687

=====

# CsAl2Tl

A relaxed CsAl2Tl crystal (GGA-PBE, Alexandria via LeMat-Bulk).

The structure in POSCAR format:
```
CsAl2Tl
1.0
-2.792 2.792 9.923
2.792 -2.792 9.923
2.792 2.792 -9.923
Cs Al Tl
2 4 2
Direct
0.375 0.625 0.750 Cs
0.625 0.375 0.250 Cs
0.000 0.000 0.000 Al
0.000 0.000 0.500 Al
0.000 0.500 0.000 Al
0.500 0.000 0.500 Al
0.125 0.875 0.250 Tl
0.875 0.125 0.750 Tl
```

Symmetry: No. 141
Total magnetization (μB per cell): 0.00
Crystal system: tetragonal
Polymorph energy (0 for the lowest one) (kJ/mol of formula units): 0

=====

# Ho6Sc2In3

A relaxed Ho6Sc2In3 crystal (GGA-PBE, Alexandria via LeMat-Bulk).

The structure in POSCAR format:
```
Ho6Sc2In3
1.0
-2.692 2.692 11.230
2.692 -2.692 11.230
2.692 2.692 -11.230
Ho Sc In
6 2 3
Direct
0.093 0.593 0.500 Ho
0.195 0.195 0.000 Ho
0.407 0.907 0.500 Ho
0.593 0.093 0.500 Ho
0.805 0.805 0.000 Ho
0.907 0.407 0.500 Ho
0.056 0.056 0.000 Sc
0.944 0.944 0.000 Sc
0.332 0.332 0.000 In
0.500 0.500 0.000 In
0.668 0.668 0.000 In
```

Symmetry: No. 139
Total magnetization (μB per cell): 0.00
Crystal system: tetragonal
Uncorrected energy (eV per atom): -4.187

=====

# PuBC

A relaxed PuBC crystal (GGA-PBE, Alexandria via LeMat-Bulk).

The structure in POSCAR format:
```
PuBC
1.0
1.822 -6.049 0.000
1.822 6.049 0.000
0.000 0.000 3.324
Pu B C
2 2 2
Direct
0.141 0.859 0.750 Pu
0.859 0.141 0.250 Pu
0.464 0.536 0.750 B
0.536 0.464 0.250 B
0.335 0.665 0.750 C
0.665 0.335 0.250 C
```

Symmetry: No. 63
Total magnetization (μB per cell): 8.15
Crystal system: orthorhombic
Polymorph energy (0 for the lowest one) (kJ/mol of formula units): 0

=====

# LiVZn

A relaxed LiVZn crystal (GGA-PBE, Alexandria via LeMat-Bulk).

The structure in POSCAR format:
```
LiVZn
1.0
0.000 3.095 3.095
3.095 0.000 3.095
3.095 3.095 0.000
Li V Zn
1 1 1
Direct
0.000 0.000 0.000 Li
0.750 0.750 0.750 V
0.500 0.500 0.500 Zn
```

Symmetry: No. 216
Total magnetization (μB per cell): 3.62
Crystal system: cubic
Polymorph energy (0 for the lowest one) (kJ/mol of formula units): 250

=====

# AcSn2Pd4Au

A relaxed AcSn2Pd4Au crystal (GGA-PBE, Alexandria via LeMat-Bulk).

The structure in POSCAR format:
```
AcSn2Pd4Au
1.0
2.275 1.313 9.335
-2.275 1.313 9.335
0.000 -2.626 9.335
Ac Sn Pd Au
1 2 4 1
Direct
0.000 0.000 0.000 Ac
0.236 0.236 0.236 Sn
0.764 0.764 0.764 Sn
0.130 0.130 0.130 Pd
0.401 0.401 0.401 Pd
0.599 0.599 0.599 Pd
0.870 0.870 0.870 Pd
0.500 0.500 0.500 Au
```

Symmetry: No. 166
Total magnetization (μB per cell): 0.00
Crystal system: trigonal
Uncorrected energy (eV per atom): -5.090

=====

# CaEr6Ta2O14

A relaxed CaEr6Ta2O14 crystal (GGA-PBE, Alexandria via LeMat-Bulk).

The structure in POSCAR format:
```
CaEr6Ta2O14
1.0
3.803 -5.294 0.000
3.803 5.294 0.000
0.000 0.000 7.669
Ca Er Ta O
1 6 2 14
Direct
0.000 0.000 0.000 Ca
0.201 0.799 0.500 Er
0.274 0.284 0.264 Er
0.274 0.285 0.737 Er
0.281 0.719 0.000 Er
0.715 0.726 0.263 Er
0.716 0.726 0.736 Er
0.698 0.302 0.000 Ta
0.738 0.262 0.500 Ta
0.045 0.325 0.500 O
0.049 0.349 0.999 O
0.059 0.941 0.277 O
0.059 0.941 0.723 O
0.352 0.647 0.276 O
0.353 0.648 0.724 O
0.363 0.131 0.000 O
0.394 0.172 0.500 O
0.651 0.951 0.001 O
0.668 0.332 0.255 O
0.668 0.332 0.745 O
0.675 0.955 0.500 O
0.828 0.606 0.500 O
0.869 0.637 0.000 O
```

Symmetry: No. 5
E_form (uncorrected) (eV/atom): -3.122
Total magnetization (μB per cell): 0.00
Crystal system: monoclinic

=====

# CdSiN3

A relaxed CdSiN3 crystal (GGA-PBE, Alexandria via LeMat-Bulk).

The structure in POSCAR format:
```
CdSiN3
1.0
4.193 0.000 0.000
0.000 4.193 0.000
0.000 0.000 4.193
Cd Si N
1 1 3
Direct
0.000 0.000 0.000 Cd
0.500 0.500 0.500 Si
0.000 0.000 0.500 N
0.000 0.500 0.000 N
0.500 0.000 0.000 N
```

Symmetry: No. 221
E_form (uncorrected) (eV/atom): 2.560
Total magnetization (μB per cell): 3.55
Crystal system: cubic

=====

# BaLaSbI

A relaxed BaLaSbI crystal (GGA-PBE, Alexandria via LeMat-Bulk).

The structure in POSCAR format:
```
BaLaSbI
1.0
2.601 1.502 15.827
-2.601 1.502 15.827
0.000 -3.004 15.827
Ba La Sb I
2 2 2 2
Direct
0.093 0.093 0.093 Ba
0.907 0.907 0.907 Ba
0.309 0.309 0.309 La
0.691 0.691 0.691 La
0.382 0.382 0.382 Sb
0.618 0.618 0.618 Sb
0.204 0.204 0.204 I
0.796 0.796 0.796 I
```

Symmetry: No. 166
E_form (uncorrected) (eV/atom): -1.206
Total magnetization (μB per cell): 1.48
Crystal system: trigonal

=====

# TbAsS

A relaxed TbAsS crystal (GGA-PBE, Alexandria via LeMat-Bulk).

The structure in POSCAR format:
```
TbAsS
1.0
-1.918 1.918 8.603
1.918 -1.918 8.603
1.918 1.918 -8.603
Tb As S
2 2 2
Direct
0.146 0.146 0.000 Tb
0.854 0.854 0.000 Tb
0.000 0.500 0.500 As
0.500 0.000 0.500 As
0.313 0.313 0.000 S
0.687 0.687 0.000 S
```

Symmetry: No. 139
E_form (uncorrected) (eV/atom): -1.546
Total magnetization (μB per cell): 0.00
Crystal system: tetragonal

=====

# LaYCdGa

A relaxed LaYCdGa crystal (GGA-PBE, Alexandria via LeMat-Bulk).

The structure in POSCAR format:
```
LaYCdGa
1.0
3.688 0.000 0.000
0.000 3.688 0.000
0.000 0.000 7.790
La Y Cd Ga
1 1 1 1
Direct
0.000 0.000 0.000 La
0.000 0.000 0.464 Y
0.500 0.500 0.708 Cd
0.500 0.500 0.249 Ga
```

Symmetry: No. 99
Total magnetization (μB per cell): 0.00
Crystal system: tetragonal
Polymorph energy (0 for the lowest one) (kJ/mol of formula units): 0

=====

# Pa2MnNi3P4

A relaxed Pa2MnNi3P4 crystal (GGA-PBE, Alexandria via LeMat-Bulk).

The structure in POSCAR format:
```
Pa2MnNi3P4
1.0
4.045 0.000 0.000
0.000 4.045 0.000
0.000 0.000 8.870
Pa Mn Ni P
2 1 3 4
Direct
0.000 0.500 0.248 Pa
0.500 0.000 0.752 Pa
0.000 0.000 0.500 Mn
0.000 0.500 0.886 Ni
0.500 0.000 0.114 Ni
0.500 0.500 0.500 Ni
0.000 0.000 0.000 P
0.000 0.500 0.631 P
0.500 0.000 0.369 P
0.500 0.500 0.000 P
```

Symmetry: No. 115
Total magnetization (μB per cell): 1.52
Crystal system: tetragonal
Uncorrected energy (eV per atom): -7.599

=====

# InHg2I6

A relaxed InHg2I6 crystal (GGA-PBE, Alexandria via LeMat-Bulk).

The structure in POSCAR format:
```
InHg2I6
1.0
8.564 -8.236 0.000
8.564 8.236 0.000
-2.964 0.000 6.896
In Hg I
2 4 12
Direct
0.220 0.780 0.750 In
0.780 0.220 0.250 In
0.202 0.348 0.623 Hg
0.348 0.202 0.123 Hg
0.652 0.798 0.877 Hg
0.798 0.652 0.377 Hg
0.017 0.763 0.404 I
0.208 0.389 0.269 I
0.212 0.578 0.898 I
0.237 0.983 0.096 I
0.389 0.208 0.769 I
0.422 0.788 0.602 I
0.578 0.212 0.398 I
0.611 0.792 0.231 I
0.763 0.017 0.904 I
0.788 0.422 0.102 I
0.792 0.611 0.731 I
0.983 0.237 0.596 I
```

Symmetry: No. 15
E_form (uncorrected) (eV/atom): -0.302
Total magnetization (μB per cell): 0.00
Crystal system: monoclinic

=====

# Cd5Rh4

A relaxed Cd5Rh4 crystal (GGA-PBE, Alexandria via LeMat-Bulk).

The structure in POSCAR format:
```
Cd5Rh4
1.0
-4.310 4.310 2.094
4.310 -4.310 2.094
4.310 4.310 -2.094
Cd Rh
5 4
Direct
0.000 0.000 0.000 Cd
0.328 0.328 0.656 Cd
0.328 0.672 0.000 Cd
0.672 0.328 0.000 Cd
0.672 0.672 0.344 Cd
0.000 0.346 0.346 Rh
0.000 0.654 0.654 Rh
0.346 0.000 0.346 Rh
0.654 0.000 0.654 Rh
```

Symmetry: No. 139
Total magnetization (μB per cell): 0.00
Crystal system: tetragonal
Polymorph energy (0 for the lowest one) (kJ/mol of formula units): 0

=====

# Ca2SnSb2

A relaxed Ca2SnSb2 crystal (GGA-PBE, Alexandria via LeMat-Bulk).

The structure in POSCAR format:
```
Ca2SnSb2
1.0
-2.744 2.744 5.700
2.744 -2.744 5.700
2.744 2.744 -5.700
Ca Sn Sb
2 1 2
Direct
0.250 0.750 0.500 Ca
0.750 0.250 0.500 Ca
0.000 0.000 0.000 Sn
0.378 0.378 0.000 Sb
0.622 0.622 0.000 Sb
```

Symmetry: No. 139
E_form (uncorrected) (eV/atom): -0.316
Total magnetization (μB per cell): 0.00
Crystal system: tetragonal
Polymorph energy (0 for the lowest one) (kJ/mol of formula units): 152